PBE Sr5PdAu, relaxed; formation enthalpy at 0 K = -0.35 eV/atom
1.0
5.719 -4.870 0.000
5.719 4.870 0.000
-4.370 0.000 10.828
Sr Pd Au
10 2 2
direct
0.076 0.739 0.364 Sr
0.244 0.756 0.750 Sr
0.261 0.924 0.136 Sr
0.272 0.356 0.978 Sr
0.356 0.272 0.478 Sr
0.644 0.728 0.522 Sr
0.728 0.644 0.022 Sr
0.739 0.076 0.864 Sr
0.756 0.244 0.250 Sr
0.924 0.261 0.636 Sr
0.000 0.500 0.500 Pd
0.500 0.000 0.000 Pd
0.424 0.576 0.250 Au
0.576 0.424 0.750 Au